[1]
# NbTeRh2S PBE optimized geometry
data_NbTeRh2S
_cell_length_a 4.448
_cell_length_b 4.448
_cell_length_c 4.678
_cell_angle_alpha 90.00
_cell_angle_beta 90.00
_cell_angle_gamma 90.00
_symmetry_space_group_name_H-M 'P 1'
_symmetry_Int_Tables_number 1
loop_
_symmetry_equiv_pos_as_xyz
'x,y,z'
loop_
_atom_site_label
_atom_site_fract_x
_atom_site_fract_y
_atom_site_fract_z
Nb1 0.000 0.000 0.000
Te1 0.500 0.500 0.000
Rh1 0.000 0.500 0.500
Rh2 0.500 0.000 0.500
S1 0.000 0.000 0.500
# Calculated volume in Å³ per atom: 18.51
# M_tot in μB/cell: 0.0
# Formation energy (no corrections) in kcal/mol of atoms: 0.94

---

[2]
# YNbRhS2 PBE optimized geometry
data_YNbRhS2
_cell_length_a 4.728
_cell_length_b 4.728
_cell_length_c 4.872
_cell_angle_alpha 90.00
_cell_angle_beta 90.00
_cell_angle_gamma 90.00
_symmetry_space_group_name_H-M 'P 1'
_symmetry_Int_Tables_number 1
loop_
_symmetry_equiv_pos_as_xyz
'x,y,z'
loop_
_atom_site_label
_atom_site_fract_x
_atom_site_fract_y
_atom_site_fract_z
Y1 0.000 0.000 0.000
Nb1 0.500 0.500 0.500
Rh1 0.500 0.500 0.000
S1 0.000 0.500 0.500
S2 0.500 0.000 0.500
# Calculated volume in Å³ per atom: 21.79
# M_tot in μB/cell: 0.0
# Formation energy (no corrections) in kcal/mol of atoms: -12.40

---

[3]
# ZrNb2RhS PBE optimized geometry
data_ZrNb2RhS
_cell_length_a 4.938
_cell_length_b 4.938
_cell_length_c 4.349
_cell_angle_alpha 90.00
_cell_angle_beta 90.00
_cell_angle_gamma 90.00
_symmetry_space_group_name_H-M 'P 1'
_symmetry_Int_Tables_number 1
loop_
_symmetry_equiv_pos_as_xyz
'x,y,z'
loop_
_atom_site_label
_atom_site_fract_x
_atom_site_fract_y
_atom_site_fract_z
Zr1 0.000 0.000 0.000
Nb1 0.000 0.500 0.500
Nb2 0.500 0.000 0.500
Rh1 0.500 0.500 0.500
S1 0.500 0.500 0.000
# Calculated volume in Å³ per atom: 21.20
# M_tot in μB/cell: 0.0
# Formation energy (no corrections) in kcal/mol of atoms: 16.93

---

[4]
# NbSb2Rh PBE optimized geometry
data_NbSb2Rh
_cell_length_a 4.758
_cell_length_b 4.758
_cell_length_c 4.758
_cell_angle_alpha 60.00
_cell_angle_beta 60.00
_cell_angle_gamma 60.00
_symmetry_space_group_name_H-M 'P 1'
_symmetry_Int_Tables_number 1
loop_
_symmetry_equiv_pos_as_xyz
'x,y,z'
loop_
_atom_site_label
_atom_site_fract_x
_atom_site_fract_y
_atom_site_fract_z
Nb1 0.000 0.000 0.000
Sb1 0.250 0.250 0.250
Sb2 0.750 0.750 0.750
Rh1 0.500 0.500 0.500
# Calculated volume in Å³ per atom: 19.04
# M_tot in μB/cell: 0.0
# Formation energy (no corrections) in kcal/mol of atoms: -2.42

---

[5]
# NbSb2Rh PBE optimized geometry
data_NbSb2Rh
_cell_length_a 7.023
_cell_length_b 7.023
_cell_length_c 7.023
_cell_angle_alpha 125.48
_cell_angle_beta 125.48
_cell_angle_gamma 80.75
_symmetry_space_group_name_H-M 'P 1'
_symmetry_Int_Tables_number 1
loop_
_symmetry_equiv_pos_as_xyz
'x,y,z'
loop_
_atom_site_label
_atom_site_fract_x
_atom_site_fract_y
_atom_site_fract_z
Nb1 0.000 0.000 0.000
Nb2 0.750 0.250 0.500
Sb1 0.147 0.625 0.022
Sb2 0.375 0.397 0.522
Sb3 0.603 0.125 0.978
Sb4 0.875 0.853 0.478
Rh1 0.250 0.750 0.500
Rh2 0.500 0.500 0.000
# Calculated volume in Å³ per atom: 27.69
# M_tot in μB/cell: 0.0
# Formation energy (no corrections) in kcal/mol of atoms: 9.55

---

[6]
# NbSbRh PBE optimized geometry
data_NbSbRh
_cell_length_a 4.404
_cell_length_b 4.404
_cell_length_c 4.404
_cell_angle_alpha 60.00
_cell_angle_beta 60.00
_cell_angle_gamma 60.00
_symmetry_space_group_name_H-M 'P 1'
_symmetry_Int_Tables_number 1
loop_
_symmetry_equiv_pos_as_xyz
'x,y,z'
loop_
_atom_site_label
_atom_site_fract_x
_atom_site_fract_y
_atom_site_fract_z
Nb1 0.000 0.000 0.000
Sb1 0.500 0.500 0.500
Rh1 0.250 0.250 0.250
# Calculated volume in Å³ per atom: 20.14
# M_tot in μB/cell: 0.9
# Formation energy (no corrections) in kcal/mol of atoms: -8.15

---

[7]
# NbSb3Rh PBE optimized geometry
data_NbSb3Rh
_cell_length_a 5.269
_cell_length_b 5.269
_cell_length_c 5.269
_cell_angle_alpha 90.00
_cell_angle_beta 90.00
_cell_angle_gamma 90.00
_symmetry_space_group_name_H-M 'P 1'
_symmetry_Int_Tables_number 1
loop_
_symmetry_equiv_pos_as_xyz
'x,y,z'
loop_
_atom_site_label
_atom_site_fract_x
_atom_site_fract_y
_atom_site_fract_z
Nb1 0.000 0.000 0.000
Sb1 0.000 0.000 0.500
Sb2 0.000 0.500 0.000
Sb3 0.500 0.000 0.000
Rh1 0.500 0.500 0.500
# Calculated volume in Å³ per atom: 29.26
# M_tot in μB/cell: 0.0
# Formation energy (no corrections) in kcal/mol of atoms: 19.71
# ΔE to the lowest computed polymorph in meV/atom: 116.1

---

[8]
# NbSbRh PBE optimized geometry
data_NbSbRh
_cell_length_a 3.431
_cell_length_b 5.533
_cell_length_c 6.258
_cell_angle_alpha 90.00
_cell_angle_beta 105.79
_cell_angle_gamma 90.00
_symmetry_space_group_name_H-M 'P 1'
_symmetry_Int_Tables_number 1
loop_
_symmetry_equiv_pos_as_xyz
'x,y,z'
loop_
_atom_site_label
_atom_site_fract_x
_atom_site_fract_y
_atom_site_fract_z
Nb1 0.000 0.000 0.000
Nb2 0.000 0.500 0.000
Sb1 0.331 0.250 0.661
Sb2 0.669 0.750 0.339
Rh1 0.365 0.750 0.727
Rh2 0.635 0.250 0.273
# Calculated volume in Å³ per atom: 19.05
# M_tot in μB/cell: 0.0
# Formation energy (no corrections) in kcal/mol of atoms: -6.04